1.
Computed, not measured: a PBEsol-optimized structure of Be2NiPb at the meta-GGA SCAN level of DFT.

Summary:
Density of states at the Fermi level in states/eV per atom: 0.338
Space group: P4/mmm (123)
V in Å³ per atom: 12.96
Energy of formation in eV per atom: 0.374
Crystal system: tetragonal
Theoretical density in Mg/m³: 9.097

a = 3.779 Å, b = 3.779 Å, c = 3.630 Å
α = 90.00°, β = 90.00°, γ = 90.00°
Fractional positions:
Be 0.000 0.500 0.000
Be 0.500 0.000 0.000
Ni 0.000 0.000 0.500
Pb 0.500 0.500 0.500



2.
Computed, not measured: a PBEsol-optimized structure of BeNiPb2 at the meta-GGA SCAN level of DFT.

Summary:
Density of states at the Fermi level in states/eV per atom: 0.349
Space group: Amm2 (38)
V in Å³ per atom: 18.22
Energy of formation in eV per atom: 0.202
Crystal system: orthorhombic
Theoretical density in Mg/m³: 10.985

a = 3.658 Å, b = 5.384 Å, c = 5.384 Å
α = 43.42°, β = 90.00°, γ = 90.00°
Fractional positions:
Be 0.000 0.000 0.000
Ni 0.500 0.881 0.881
Pb 0.000 0.293 0.293
Pb 0.500 0.582 0.582



3.
Computed, not measured: a PBEsol-optimized structure of BeNiPb at the meta-GGA SCAN level of DFT.

Summary:
Density of states at the Fermi level in states/eV per atom: 0.436
Space group: F-43m (216)
V in Å³ per atom: 16.13
Energy of formation in eV per atom: 0.238
Crystal system: cubic
Theoretical density in Mg/m³: 9.436

a = 4.090 Å, b = 4.090 Å, c = 4.090 Å
α = 60.00°, β = 60.00°, γ = 60.00°
Fractional positions:
Be 0.000 0.000 0.000
Ni 0.750 0.750 0.750
Pb 0.500 0.500 0.500



4.
Computed, not measured: a PBEsol-optimized structure of BeNiPb2 at the meta-GGA SCAN level of DFT.

Summary:
Density of states at the Fermi level in states/eV per atom: 0.406
Space group: P4mm (99)
V in Å³ per atom: 19.23
Energy of formation in eV per atom: 0.153
Crystal system: tetragonal
Theoretical density in Mg/m³: 10.410

a = 3.078 Å, b = 3.078 Å, c = 8.118 Å
α = 90.00°, β = 90.00°, γ = 90.00°
Fractional positions:
Be 0.000 0.000 0.000
Ni 0.500 0.500 0.086
Pb 0.000 0.000 0.332
Pb 0.500 0.500 0.743